A geometry-optimized Li2YGeBi structure. Source: Alexandria via LeMat-Bulk, functional GGA-PBE.

Structure (CIF):
```
data_Li2YGeBi
_cell_length_a 4.670
_cell_length_b 5.900
_cell_length_c 4.670
_cell_angle_alpha 90.00
_cell_angle_beta 90.00
_cell_angle_gamma 90.00
_space_group_name_H-M_alt 'P 1'
_space_group_IT_number 1
_space_group_name_Hall 'P 1'
loop_
_atom_site_label
_atom_site_type_symbol
_atom_site_fract_x
_atom_site_fract_y
_atom_site_fract_z
_atom_site_occupancy
Y1 Y 0.500 0.500 0.500 1
Bi1 Bi 0.000 0.500 0.000 1
Li1 Li 0.500 0.000 0.000 1
Ge1 Ge 0.000 0.000 0.000 1
Li2 Li 0.000 0.000 0.500 1
```

Properties
The total magnetization comes out at 0.00 μB/cell. For the total energy, the calculation gives -3.81 eV per atom. Its symmetry is P4/mmm (123). Its formation energy is -54 meV/atom.